# 1
VASP calculation (PBE) on crystalline KNa2Hg2Bi2 at its relaxed geometry.

- formation energy (meV/atom) = -274

Cell lengths 5.2737, 5.2737, 10.3028 Å; angles 75.17, 75.17, 60.00 degrees
Atoms (fractional coordinates):
Hg 0.4244 0.4244 0.7267
Hg 0.5756 0.5756 0.2733
Na 0.8630 0.8630 0.4109
Na 0.1370 0.1370 0.5891
Bi 0.7502 0.7502 0.7495
Bi 0.2498 0.2498 0.2505
K 0.0000 0.0000 0.0000

***

# 2
VASP calculation (PBE) on crystalline Li7CdCu2 at its relaxed geometry.

- formation energy (meV/atom) = 12
- E above lowest polymorph (eV per atom) = 0.0000

Cell lengths 2.6826, 5.1643, 12.0901 Å; angles 102.33, 90.00, 90.00 degrees
Atoms (fractional coordinates):
Li 0.5000 0.3510 0.2075
Li 0.5000 0.1435 0.7925
Li 0.5000 0.5000 0.0000
Li 0.0000 0.7903 0.5806
Li 0.5000 0.6490 0.7925
Li 0.5000 0.8565 0.2075
Li 0.0000 0.2097 0.4194
Cd 0.0000 0.0000 0.0000
Cu 0.5000 0.6947 0.3895
Cu 0.5000 0.3053 0.6105

***

# 3
VASP calculation (PBE) on crystalline Li2FeMo at its relaxed geometry.

- formation energy (meV/atom) = 915
- E above lowest polymorph (eV per atom) = 0.6848

Cell lengths 4.0771, 4.0771, 4.0771 Å; angles 60.00, 60.00, 60.00 degrees
Atoms (fractional coordinates):
Li 0.2500 0.2500 0.2500
Li 0.7500 0.7500 0.7500
Mo 0.5000 0.5000 0.5000
Fe 0.0000 0.0000 0.0000

***

# 4
VASP calculation (PBE) on crystalline LaBO2F at its relaxed geometry.

- formation energy from raw total energies (eV/atom) = -0.901

Cell lengths 4.5332, 4.5332, 4.6848 Å; angles 90.00, 90.00, 90.00 degrees
Last column: magnetic moment on the atom in μB.
Atoms (fractional coordinates):
O 0.0000 0.5000 0.0000  -0.16
O 0.5000 0.0000 0.0000  -0.16
B 0.5000 0.5000 0.5000  0.02
F 0.0000 0.0000 0.5000  0.00
La 0.0000 0.0000 0.0000  -0.01

***

# 5
VASP calculation (PBE) on crystalline Tm5SbAu2 at its relaxed geometry.

- formation energy from raw total energies (eV/atom) = -0.769

Cell lengths 7.9676, 7.9676, 8.5577 Å; angles 117.74, 117.74, 90.00 degrees
Atoms (fractional coordinates):
Tm 0.5116 0.7018 0.7134
Tm 0.0000 0.0000 0.0000
Tm 0.2982 0.7982 0.2866
Tm 0.7982 0.9884 0.2866
Tm 0.9884 0.4884 0.2866
Tm 0.4884 0.2982 0.2866
Tm 0.7018 0.2018 0.7134
Tm 0.0116 0.5116 0.7134
Tm 0.5000 0.5000 0.0000
Tm 0.2018 0.0116 0.7134
Sb 0.2500 0.2500 0.5000
Sb 0.7500 0.7500 0.5000
Au 0.1383 0.3617 0.0000
Au 0.3617 0.8617 0.0000
Au 0.6383 0.1383 0.0000
Au 0.8617 0.6383 0.0000

***

# 6
VASP calculation (PBE) on crystalline GaGeH at its relaxed geometry.

- E above lowest polymorph (eV per atom) = 0.2246

Cell lengths 7.2071, 3.2286, 7.4088 Å; angles 90.00, 90.00, 90.00 degrees
Atoms (fractional coordinates):
Ga 0.5000 0.7500 0.2500
Ga 0.5000 0.2500 0.7500
Ga 0.0000 0.7500 0.2500
Ga 0.0000 0.2500 0.7500
H 0.7500 0.2500 0.4239
H 0.2500 0.2500 0.0761
H 0.7500 0.7500 0.9239
H 0.2500 0.7500 0.5761
Ge 0.2500 0.7500 0.9588
Ge 0.7500 0.7500 0.5412
Ge 0.7500 0.2500 0.0412
Ge 0.2500 0.2500 0.4588

***

# 7
VASP calculation (PBE) on crystalline CsCa2YCl8 at its relaxed geometry.

- formation energy from raw total energies (eV/atom) = -2.243

Cell lengths 6.6898, 6.4964, 8.9571 Å; angles 89.89, 89.93, 88.81 degrees
Atoms (fractional coordinates):
Cl 0.8263 0.2422 0.7989
Cl 0.6822 0.7366 0.9999
Cl 0.6000 0.7245 0.4996
Cl 0.1748 0.7589 0.7992
Cl 0.8252 0.2411 0.2008
Cl 0.3178 0.2634 0.0001
Cl 0.4000 0.2755 0.5004
Cl 0.1737 0.7578 0.2011
Ca 0.5000 0.5001 0.2523
Ca 0.5000 0.4999 0.7477
Y 0.0000 0.0000 0.0000
Cs 0.0000 0.0000 0.5000

***

# 8
VASP calculation (PBE) on crystalline CoTc4Rh at its relaxed geometry.

- formation energy (meV/atom) = 444

Cell lengths 5.0340, 5.0340, 5.0340 Å; angles 60.00, 60.00, 60.00 degrees
Last column: magnetic moment on the atom in μB.
Atoms (fractional coordinates):
Tc 0.3753 0.3753 0.3753  -0.02
Tc 0.3753 0.3753 0.8741  -0.02
Tc 0.8741 0.3753 0.3753  -0.02
Tc 0.3753 0.8741 0.3753  -0.02
Co 0.7500 0.7500 0.7500  1.53
Rh 0.0000 0.0000 0.0000  -0.05

***

# 9
VASP calculation (PBE) on crystalline CsIn8Sn2 at its relaxed geometry.

- formation energy (meV/atom) = 31
- E above lowest polymorph (eV per atom) = 0.0000

Cell lengths 5.7697, 5.7697, 11.7674 Å; angles 90.00, 90.00, 90.00 degrees
Atoms (fractional coordinates):
Sn 0.0000 0.0000 0.3679
Sn 0.0000 0.0000 0.6321
In 0.5000 0.5000 0.6369
In 0.5000 0.0000 0.2373
In 0.0000 0.5000 0.2373
In 0.5000 0.0000 0.7627
In 0.0000 0.5000 0.7627
In 0.0000 0.5000 0.5000
In 0.5000 0.5000 0.3631
In 0.5000 0.0000 0.5000
Cs 0.0000 0.0000 0.0000

***

# 10
VASP calculation (PBE) on crystalline Rh2PbW at its relaxed geometry.

- formation energy (meV/atom) = 436

Cell lengths 4.1275, 4.1275, 3.9600 Å; angles 90.00, 90.00, 90.00 degrees
Last column: magnetic moment on the atom in μB.
Atoms (fractional coordinates):
Rh 0.5000 0.0000 0.0000  0.09
Rh 0.0000 0.5000 0.0000  0.09
W 0.5000 0.5000 0.5000  0.34
Pb 0.0000 0.0000 0.5000  0.00

***

# 11
VASP calculation (PBE) on crystalline CoH2Br at its relaxed geometry.

- E above lowest polymorph (eV per atom) = 0.6662

Cell lengths 3.7777, 3.7777, 3.7777 Å; angles 60.00, 60.00, 60.00 degrees
Atoms (fractional coordinates):
Co 0.0000 0.0000 0.0000
H 0.2500 0.2500 0.2500
H 0.7500 0.7500 0.7500
Br 0.5000 0.5000 0.5000

***

# 12
VASP calculation (PBE) on crystalline Na3Er2NpSe6 at its relaxed geometry.

- formation energy from raw total energies (eV/atom) = -1.521

Cell lengths 7.1877, 7.1877, 7.3951 Å; angles 99.31, 99.31, 119.92 degrees
Last column: magnetic moment on the atom in μB.
Atoms (fractional coordinates):
Se 0.9233 0.5841 0.7709  -0.02
Se 0.4159 0.0767 0.2291  -0.02
Se 0.5841 0.9233 0.7709  -0.02
Se 0.2629 0.2629 0.7698  -0.02
Se 0.7371 0.7371 0.2302  -0.02
Se 0.0767 0.4159 0.2291  -0.02
Na 0.1666 0.8334 0.5000  0.00
Na 0.5000 0.5000 0.5000  0.00
Na 0.8334 0.1666 0.5000  0.00
Er 0.6660 0.3340 0.0000  0.04
Er 0.3340 0.6660 0.0000  0.04
Np 0.0000 0.0000 0.0000  3.89